[1]
Zr2Mn2Be (PBE, optimized geometry); DFT formation energy = 3.3 kJ per mole of atoms; raw total energy = -77.98 eV/cell
1.0
6.1791 0.0000 0.0000
0.0000 6.1791 0.0000
0.0000 0.0000 4.0694
Zr Mn Be
4 4 2
Cartesian
1.1443 1.9453 0.0000
1.9453 5.0348 0.0000
4.2339 1.1443 0.0000
5.0348 4.2339 0.0000
0.7254 3.8149 2.0347
2.3642 0.7254 2.0347
3.8149 5.4538 2.0347
5.4538 2.3642 2.0347
0.0000 0.0000 2.0347
3.0896 3.0896 2.0347



[2]
ZrMn2Be (PBE, optimized geometry); DFT formation energy = 19.3 kJ per mole of atoms; raw total energy = -29.82 eV/cell
1.0
2.8577 0.0000 0.0000
0.0000 4.0523 0.0000
-0.5323 0.0000 4.6437
Zr Mn Be
1 2 1
Cartesian
0.0000 0.0000 0.0000
0.5077 2.0261 3.1654
1.8177 2.0261 1.4782
1.1627 0.0000 2.3218



[3]
ZrMn2Be2 (PBE, optimized geometry); DFT formation energy = -0.7 kJ per mole of atoms; distance to the lowest polymorph of the same formula = 0 meV/atom; raw total energy = -68.75 eV/cell
1.0
6.5612 0.0000 0.0000
0.0000 6.5612 0.0000
0.0000 0.0000 2.8607
Zr Mn Be
2 4 4
Cartesian
0.0000 0.0000 0.0000
3.2806 3.2806 0.0000
1.1305 2.1501 1.4304
2.1501 5.4307 1.4304
4.4111 1.1305 1.4304
5.4307 4.4111 1.4304
0.7505 4.0311 0.0000
2.5301 0.7505 0.0000
4.0311 5.8107 0.0000
5.8107 2.5301 0.0000



[4]
ZrMn2Be9 (PBE, optimized geometry); DFT formation energy = -21.2 kJ per mole of atoms; raw total energy = -63.06 eV/cell
1.0
2.1724 1.2542 6.9005
-2.1724 1.2542 6.9005
0.0000 -2.5084 6.9005
Zr Mn Be
1 2 9
Cartesian
0.0000 0.0000 0.0000
0.0000 0.0000 2.9867
0.0000 0.0000 17.7148
-1.1055 -0.6382 8.7197
0.0000 0.0000 6.9025
0.0000 -1.2765 11.9818
-1.1055 0.6382 11.9818
0.0000 0.0000 10.3507
1.1055 -0.6382 8.7197
0.0000 1.2765 8.7197
0.0000 0.0000 13.7990
1.1055 0.6382 11.9818



[5]
ZrMn2Be (PBE, optimized geometry); DFT formation energy = 35.9 kJ per mole of atoms; raw total energy = -58.25 eV/cell
1.0
-1.8590 1.8590 8.2819
1.8590 -1.8590 8.2819
1.8590 1.8590 -8.2819
Zr Mn Be
2 4 2
Cartesian
0.0000 0.0000 0.0000
0.0000 1.8590 4.1409
0.9295 -0.5273 6.2114
1.3318 0.9295 2.0705
0.9295 2.3863 -2.0705
0.5273 0.9295 10.3523
1.8590 0.0000 4.1409
0.0000 0.0000 8.2819



[6]
Zr2MnBe2 (PBE, optimized geometry); DFT formation energy = -0.6 kJ per mole of atoms; raw total energy = -67.50 eV/cell
1.0
6.3956 0.0000 0.0000
0.0000 6.3956 0.0000
0.0000 0.0000 3.5953
Zr Mn Be
4 2 4
Cartesian
1.1684 2.0294 0.0000
2.0294 5.2272 0.0000
4.3662 1.1684 0.0000
5.2272 4.3662 0.0000
0.0000 0.0000 1.7977
3.1978 3.1978 1.7977
0.7564 3.9542 1.7977
2.4414 0.7564 1.7977
3.9542 5.6392 1.7977
5.6392 2.4414 1.7977